Computed, not measured: crystalline LiMnV2O at its relaxed geometry at the PBE+U level of DFT.

a b c (Å): 5.0157 5.0157 3.6598
angles (deg): 90.00 90.00 90.00
Last column: nearest neighbours and their distance in Å.
Space group P4/mmm (No. 123)
Asymmetric unit:
1 Li 0.0000 0.0000 0.0000 x1  8 V 3.10
2 Mn 0.5000 0.5000 0.5000 x1  2 O 1.83
3 V 0.0000 0.5000 0.5000 x2  2 Mn 2.51
4 O 0.5000 0.5000 0.0000 x1  2 Mn 1.83

## Properties
Total energy, eV per atom: -4.68